Here is a relaxed GaNi2SO crystal from the Alexandria database. Energies are from PBE+U.

Summary:
- crystal system = tetragonal
- magnetization (μB/f.u.) = 3.5
- E (eV for the cell shown) = -11.6
- ρ (Mg/m³) = 4.02

a b c (Å): 4.6606 4.6606 4.4728
angles (deg): 90.00 90.00 90.00
Last column: nearest neighbours and their distance in Å.
Space group P4/mmm (No. 123)
Unique sites:
Ga 0.0000 0.0000 0.0000 [1 per cell]  2 S 2.24, 4 Ni 2.33
Ni 0.0000 0.5000 0.0000 [2 per cell]  2 Ga 2.33
S 0.0000 0.0000 0.5000 [1 per cell]  2 Ga 2.24
O 0.5000 0.5000 0.5000 [1 per cell]  8 Ni 3.23, 4 S 3.30